The following is a DFT calculation (PBE with a Hubbard U) of crystalline Ce2FeO at its relaxed geometry.

- N(E_F): 5.5 states/eV/cell
- Electronic total energy: -6.4101 eV per atom
- Total magnetic moment: 2.2 μB per cell

Cell and atoms, written as POSCAR:
```
Ce2FeO
1.0
3.175 0.000 0.000
1.588 2.750 0.000
1.588 0.917 9.369
O Fe Ce
1 1 2
Cartesian
3.175 1.833 4.685
0.000 0.000 0.000
1.588 0.917 6.298
4.763 2.750 3.071
```

The following is a DFT calculation (PBE with a Hubbard U) of crystalline Ce4FeO10 at its relaxed geometry.

- N(E_F): 2.7 states/eV/cell
- Electronic total energy: -8.1544 eV per atom
- Total magnetic moment: 4.0 μB per cell

Cell and atoms, written as POSCAR:
```
Ce4FeO10
1.0
-2.512 -2.572 1.350
-2.095 -2.099 -2.438
9.217 -12.131 -0.499
Ce Fe O
4 1 10
Cartesian
5.703 -11.742 -0.837
1.902 -11.072 -1.171
2.708 -5.730 -0.417
-1.092 -5.060 -0.751
0.000 0.000 0.000
-3.190 -6.064 -1.107
4.406 -7.400 -0.438
0.604 -6.728 -0.772
7.415 -13.426 -0.859
3.599 -12.740 -1.193
-2.805 -3.376 -0.729
0.204 -9.402 -1.150
1.012 -4.062 -0.395
7.801 -10.738 -0.481
4.006 -10.074 -0.815
```

The following is a DFT calculation (PBE with a Hubbard U) of crystalline CePaFe2O6 at its relaxed geometry.

- N(E_F): 8.7 states/eV/cell
- Electronic total energy: -8.2280 eV per atom
- Total magnetic moment: 14.0 μB per cell

Cell and atoms, written as POSCAR:
```
CePaFe2O6
1.0
5.739 0.000 0.010
0.000 5.723 0.000
0.074 0.000 8.479
Ce Pa Fe O
2 2 4 12
Cartesian
2.906 0.000 4.245
0.000 2.861 0.000
2.870 0.000 0.005
0.037 2.861 4.240
5.639 5.593 2.054
2.806 2.991 6.289
0.174 0.130 6.435
3.006 2.732 2.200
2.054 3.867 0.770
4.961 4.717 5.015
3.758 1.856 7.719
0.852 1.006 3.475
1.942 3.724 3.664
4.848 4.860 7.909
3.871 1.999 4.825
0.965 0.863 0.580
4.976 3.614 2.213
2.143 4.970 6.448
0.837 2.109 6.276
3.670 0.752 2.041
```

The following is a DFT calculation (PBE with a Hubbard U) of crystalline CePuFe2O6 at its relaxed geometry.

- N(E_F): 10.7 states/eV/cell
- Electronic total energy: -8.5005 eV per atom
- Total magnetic moment: 24.1 μB per cell

Cell and atoms, written as POSCAR:
```
CePuFe2O6
1.0
-0.190 4.211 3.790
-5.555 0.580 -0.924
-1.596 -5.517 6.135
Ce Pu Fe O
2 2 4 12
Cartesian
-0.893 -0.653 4.962
-2.777 0.290 -0.462
-0.095 2.106 1.895
-3.576 -2.468 2.606
-6.001 3.340 4.327
-4.194 -1.786 5.917
-1.341 -4.065 4.674
-3.148 1.061 3.084
-3.926 1.390 1.208
-5.698 0.829 6.024
-3.415 -2.115 7.793
-1.643 -1.554 2.977
-4.418 -0.553 3.290
-6.300 -1.102 8.088
-2.923 -0.172 5.711
-1.041 0.377 0.913
-4.046 2.599 4.269
-6.134 -2.120 5.211
-3.296 -3.324 4.732
-1.207 1.395 3.790
```

The following is a DFT calculation (PBE with a Hubbard U) of crystalline Rb2Ce2Fe4O11 at its relaxed geometry.

- N(E_F): 4.7 states/eV/cell
- Electronic total energy: -6.7945 eV per atom
- Total magnetic moment: 19.5 μB per cell

Cell and atoms, written as POSCAR:
```
Rb2Ce2Fe4O11
1.0
8.827 -0.025 0.000
-5.202 7.131 0.000
0.000 0.000 3.930
O Rb Ce Fe
11 2 2 4
Cartesian
4.074 4.754 0.000
2.168 1.017 0.000
-0.449 2.352 0.000
1.457 6.089 0.000
-3.982 6.509 1.965
7.607 0.597 1.965
0.339 4.305 1.965
3.286 2.801 1.965
-1.689 5.339 0.000
5.314 1.767 0.000
1.812 3.553 0.000
-2.601 3.566 1.965
4.414 -0.012 1.965
2.665 5.224 1.965
0.960 1.882 1.965
-3.374 6.199 0.000
6.999 0.908 0.000
0.054 4.450 0.000
3.571 2.656 0.000
```

The following is a DFT calculation (PBE with a Hubbard U) of crystalline Rb2Ce2Fe4O9 at its relaxed geometry.

- N(E_F): 2.0 states/eV/cell
- Electronic total energy: -6.8048 eV per atom
- Total magnetic moment: 16.3 μB per cell

Cell and atoms, written as POSCAR:
```
Rb2Ce2Fe4O9
1.0
8.931 0.023 0.000
-5.270 7.211 0.000
0.000 0.000 3.936
Rb Ce Fe O
2 2 4 9
Cartesian
6.286 3.615 1.968
4.470 0.027 1.968
2.743 5.426 1.968
0.913 1.810 1.968
-3.458 6.294 0.000
7.395 0.800 0.000
0.014 4.536 0.000
3.361 2.842 0.000
3.935 4.767 0.000
2.150 1.240 0.000
-0.323 2.379 0.000
1.553 6.085 0.000
-4.246 6.693 1.968
7.446 0.774 1.968
0.802 4.137 1.968
3.309 2.869 1.968
-1.722 5.415 0.000
```